Be2OsCl, relaxed, DFT GGA-PBE; M_tot = 0.9 μB/f.u.; VASP energy = -4.398 eV per atom; SG = No. 122; formation energy from raw total energies = 0.73 eV/atom; ΔE to the lowest computed polymorph = 713 meV per atom
1.0
-2.0786 -3.4226 3.6016
4.4561 0.4424 2.9922
-0.5783 1.8350 5.4369
Be Os Cl
4 2 2
Direct
0.6187 0.1250 0.2500 Be
0.1313 0.6250 0.2500 Be
0.3750 0.3813 0.7500 Be
0.8750 0.8687 0.7500 Be
0.0000 0.0000 0.0000 Os
0.7500 0.2500 0.5000 Os
0.5000 0.5000 0.0000 Cl
0.2500 0.7500 0.5000 Cl

=====

Be2OsCl, relaxed, DFT GGA-PBE; M_tot = 0.0 μB/f.u.; VASP energy = -4.808 eV per atom; SG = No. 44; formation energy from raw total energies = 0.32 eV/atom; ΔE to the lowest computed polymorph = 304 meV per atom
1.0
-5.3928 1.2277 -2.6590
-5.7288 -2.1871 0.2397
5.1147 2.2057 2.5757
Be Os Cl
2 1 1
Direct
0.0924 0.0924 0.0000 Be
0.7111 0.2111 0.5000 Be
0.2505 0.7505 0.5000 Os
0.4459 0.4459 0.0000 Cl

=====

BeOs2Cl, relaxed, DFT GGA-PBE; M_tot = 0.0 μB/f.u.; VASP energy = -6.258 eV per atom; SG = No. 65; formation energy from raw total energies = 0.75 eV/atom; ΔE to the lowest computed polymorph = 518 meV per atom
1.0
-2.4775 -1.0075 -0.7912
2.3393 -0.8384 -1.2663
0.7498 -6.1062 5.4279
Be Os Cl
1 2 1
Direct
0.5000 0.5000 0.2500 Be
0.0000 0.0000 0.0231 Os
0.0000 0.0000 0.4769 Os
0.5000 0.5000 0.7500 Cl

=====

Be2OsCl, relaxed, DFT GGA-PBE; M_tot = 0.0 μB/f.u.; VASP energy = -4.929 eV per atom; SG = No. 99; formation energy from raw total energies = 0.20 eV/atom; ΔE to the lowest computed polymorph = 182 meV per atom
1.0
2.9932 0.0000 0.0000
0.0000 2.9934 0.0000
0.0000 0.0000 7.2878
Be Os Cl
2 1 1
Direct
0.0000 0.0000 0.0178 Be
0.5000 0.5000 0.2054 Be
0.5000 0.5000 0.9119 Os
0.0000 0.0000 0.3649 Cl